[1]
! H3IrO PBE relaxed; values from VASP
&SYSTEM
  ibrav = 0, nat = 5, ntyp = 3
/
ATOMIC_SPECIES
H 1.01 H.upf
Ir 192.22 Ir.upf
O 16.00 O.upf
ATOMIC_POSITIONS angstrom
H -1.1394 -0.2420 1.0918
H 0.1573 1.5085 0.4985
H -1.1072 0.4633 -1.0527
Ir -2.0893 1.7298 0.5375
O 0.0000 0.0000 0.0000
CELL_PARAMETERS angstrom
-2.2144 0.9266 -2.1055
-2.2788 -0.4840 2.1836
0.3145 3.0170 0.9970
! SG: Pm-3m, No. 221
! Relative energy among the computed polymorphs (meV per atom): 314.4



[2]
! KTc2Ir PBE relaxed; values from VASP
&SYSTEM
  ibrav = 0, nat = 4, ntyp = 3
/
ATOMIC_SPECIES
Ir 192.22 Ir.upf
K 39.10 K.upf
Tc 98.00 Tc.upf
ATOMIC_POSITIONS angstrom
Ir 2.7460 0.0081 1.2978
K -1.3614 2.3848 1.2978
Tc 0.0000 0.0000 0.0000
Tc 1.3846 2.3929 0.0000
CELL_PARAMETERS angstrom
5.4921 0.0162 0.0000
-2.7229 4.7696 0.0000
0.0000 0.0000 2.5956
! SG: Cmmm, No. 65
! Relative energy among the computed polymorphs (meV per atom): 654.8
! Formation energy (eV per atom): 1.2572



[3]
! Pr12SbRh6 PBE relaxed; values from VASP
&SYSTEM
  ibrav = 0, nat = 19, ntyp = 3
/
ATOMIC_SPECIES
Pr 140.91 Pr.upf
Sb 121.76 Sb.upf
Rh 102.91 Rh.upf
ATOMIC_POSITIONS angstrom
Pr 2.0674 0.8860 6.0005
Pr 0.5115 3.5808 -0.7234
Pr 3.6954 3.7058 3.6982
Pr 2.1396 6.4006 -3.0258
Pr -2.4059 5.9392 -0.0510
Pr 3.3568 1.3474 0.7234
Pr 0.8501 5.9392 2.2513
Pr 6.6129 1.3474 3.0258
Pr 5.5686 2.2334 -2.2513
Pr 0.2664 2.2334 2.9237
Pr 3.9405 5.0532 0.0511
Pr -1.3616 5.0532 5.2261
Sb 0.0000 0.0000 0.0000
Rh 0.9892 3.6433 5.1616
Rh 3.2177 3.6433 -2.1869
Rh 0.5571 6.3216 -0.7879
Rh 3.6498 0.9649 3.7626
Rh 5.7533 2.6783 0.7879
Rh -1.5463 4.6082 2.1869
CELL_PARAMETERS angstrom
8.4138 0.0000 -2.9747
-4.2069 7.2866 -2.9747
0.0000 0.0000 8.9242
! SG: Im-3, No. 204
! Total DFT energy (no corrections) (eV per atom): -6.1093



[4]
! Ba2Be2H7 PBE relaxed; values from VASP
&SYSTEM
  ibrav = 0, nat = 11, ntyp = 3
/
ATOMIC_SPECIES
Ba 137.33 Ba.upf
Be 9.01 Be.upf
H 1.01 H.upf
ATOMIC_POSITIONS angstrom
Ba 2.6213 4.1533 1.2953
Ba 2.3974 0.9756 4.3721
Be 4.1815 1.1753 1.5207
Be 0.8372 3.9536 4.1466
H 0.5682 2.2589 0.6467
H 4.5726 4.5936 3.3525
H 4.4505 2.8700 5.0206
H 0.4461 0.5353 2.3149
H 2.2458 3.7437 4.0324
H 0.0000 0.0000 0.0000
H 2.7729 1.3853 1.6350
CELL_PARAMETERS angstrom
4.2695 0.1042 0.4204
0.6043 5.7671 -0.5281
0.1449 -0.7424 5.7750
! SG: C2/m, No. 12
! Total DFT energy (no corrections) (eV per atom): -3.4373



[5]
! CaTmPd PBE relaxed; values from VASP
&SYSTEM
  ibrav = 0, nat = 18, ntyp = 3
/
ATOMIC_SPECIES
Ca 40.08 Ca.upf
Pd 106.42 Pd.upf
Tm 168.93 Tm.upf
ATOMIC_POSITIONS angstrom
Ca -6.1604 0.7181 4.1338
Ca -8.8343 0.8286 1.1780
Ca -8.6454 -2.3440 3.5853
Ca -7.3333 4.4115 0.3050
Ca -11.8960 2.8023 4.0209
Ca -3.0985 -1.2557 1.2911
Pd -5.6203 3.5048 2.7794
Pd -6.9325 -3.2506 6.0598
Pd -6.3488 -1.2549 1.5452
Pd -10.3587 3.7082 1.2923
Pd -7.2965 1.7337 -1.5510
Pd -9.4110 0.7197 4.3885
Tm -4.1266 2.1843 -5.9611
Tm -7.1881 4.1584 -3.1183
Tm -5.4818 1.3543 0.6665
Tm -8.1257 -0.5419 6.6492
Tm -5.0635 -2.5165 3.8058
Tm -8.5440 3.3289 3.5098
CELL_PARAMETERS angstrom
-4.1594 2.2016 -6.0085
-4.3742 -4.7822 6.1231
-6.1230 3.9483 5.6855
! SG: Amm2, No. 38
! Relative energy among the computed polymorphs (meV per atom): 0.0
! Formation energy (eV per atom): -0.5543



[6]
! YTa2Ni2 PBE relaxed; values from VASP
&SYSTEM
  ibrav = 0, nat = 10, ntyp = 3
/
ATOMIC_SPECIES
Y 88.91 Y.upf
Ni 58.69 Ni.upf
Ta 180.95 Ta.upf
ATOMIC_POSITIONS angstrom
Y 0.0000 0.0000 0.0000
Y 3.9254 3.9254 0.0000
Ni 1.3443 5.2697 1.3797
Ni 5.2697 6.5065 1.3797
Ni 6.5065 2.5811 1.3797
Ni 2.5811 1.3443 1.3797
Ta 2.9431 6.8685 0.0000
Ta 6.8685 4.9077 0.0000
Ta 4.9077 0.9823 0.0000
Ta 0.9823 2.9431 0.0000
CELL_PARAMETERS angstrom
7.8508 0.0000 0.0000
0.0000 7.8508 0.0000
0.0000 0.0000 2.7595
! SG: P4/mbm, No. 127
! Relative energy among the computed polymorphs (meV per atom): 149.9
! Formation energy (eV per atom): 0.0683



[7]
! Ca2HoH PBE relaxed; values from VASP
&SYSTEM
  ibrav = 0, nat = 4, ntyp = 3
/
ATOMIC_SPECIES
H 1.01 H.upf
Ca 40.08 Ca.upf
Ho 164.93 Ho.upf
ATOMIC_POSITIONS angstrom
H 3.5621 2.0566 4.9528
Ca 1.7811 1.0283 6.4380
Ca 5.3432 3.0849 3.4676
Ho 0.0000 0.0000 0.0000
CELL_PARAMETERS angstrom
3.5621 0.0000 0.0000
1.7811 3.0849 0.0000
1.7811 1.0283 9.9056
! SG: R-3m, No. 166
! Total DFT energy (no corrections) (eV per atom): -2.8916



[8]
! LiNdPb PBE relaxed; values from VASP
&SYSTEM
  ibrav = 0, nat = 18, ntyp = 3
/
ATOMIC_SPECIES
Nd 144.24 Nd.upf
Pb 207.20 Pb.upf
Li 6.94 Li.upf
ATOMIC_POSITIONS angstrom
Nd -1.3653 -6.8616 0.9653
Nd 1.2817 -10.5890 5.0778
Nd -3.7290 -3.7641 1.0539
Nd 0.8121 -5.8494 -2.2090
Nd -1.0820 -7.4914 5.1663
Nd -3.2594 -8.5037 8.3406
Pb -0.8899 -10.7182 7.5394
Pb -4.3044 -8.2183 5.2425
Pb -0.8906 -9.6747 2.7006
Pb -1.5573 -3.6348 -1.4078
Pb -1.5566 -4.6783 3.4311
Pb 1.8572 -6.1348 0.8892
Li 3.9936 -6.6361 -1.0298
Li 1.4804 -8.1459 2.9073
Li -2.4728 -10.5978 5.1573
Li -3.9277 -6.2072 3.2243
Li 0.0256 -3.7552 0.9744
Li -6.4409 -7.7170 7.1614
CELL_PARAMETERS angstrom
-3.0850 -2.2729 -2.8409
5.1976 -5.4679 -1.2694
-4.5598 -6.6122 10.2419
! SG: P2_1/m, No. 11
! Formation energy (eV per atom): -0.5266



[9]
! TlPS2Cl PBE relaxed; values from VASP
&SYSTEM
  ibrav = 0, nat = 5, ntyp = 4
/
ATOMIC_SPECIES
P 30.97 P.upf
Tl 204.38 Tl.upf
S 32.06 S.upf
Cl 35.45 Cl.upf
ATOMIC_POSITIONS angstrom
P 0.0000 0.0000 0.0000
Tl 2.2843 2.2843 2.6806
S 0.0000 2.2843 0.0000
S 2.2843 0.0000 0.0000
Cl 0.0000 0.0000 2.6806
CELL_PARAMETERS angstrom
4.5686 0.0000 0.0000
0.0000 4.5686 0.0000
0.0000 0.0000 5.3612
! SG: P4/mmm, No. 123
! Relative energy among the computed polymorphs (meV per atom): 0.0



[10]
! YMg2Zn PBE relaxed; values from VASP
&SYSTEM
  ibrav = 0, nat = 4, ntyp = 3
/
ATOMIC_SPECIES
Mg 24.30 Mg.upf
Y 88.91 Y.upf
Zn 65.41 Zn.upf
ATOMIC_POSITIONS angstrom
Mg 0.0000 4.0266 5.5516
Mg 0.0000 2.6080 2.9501
Y 2.4468 1.1058 1.4170
Zn 2.4468 3.3173 4.2509
CELL_PARAMETERS angstrom
4.8936 0.0000 0.0000
0.0000 3.3644 0.0074
0.0000 1.0587 5.6604
! SG: P2/m, No. 10
! Formation energy (eV per atom): -0.0833



[11]
! Li2LaAg2 PBE relaxed; values from VASP
&SYSTEM
  ibrav = 0, nat = 5, ntyp = 3
/
ATOMIC_SPECIES
Li 6.94 Li.upf
Ag 107.87 Ag.upf
La 138.91 La.upf
ATOMIC_POSITIONS angstrom
Li -2.8103 -3.1217 3.8048
Li -1.0027 -4.9970 2.4787
Ag -1.5346 -2.4938 1.4347
Ag -2.2784 -5.6249 4.8487
La 0.0000 0.0000 0.0000
CELL_PARAMETERS angstrom
-3.8560 -0.2043 1.4749
-0.2408 -3.9550 -1.1774
0.2838 -3.9594 5.9860
! SG: I4/mmm, No. 139
! Relative energy among the computed polymorphs (meV per atom): 1.2
! Formation energy (eV per atom): -0.2067



[12]
! Be2NiAg PBE relaxed; values from VASP
&SYSTEM
  ibrav = 0, nat = 4, ntyp = 3
/
ATOMIC_SPECIES
Ni 58.69 Ni.upf
Ag 107.87 Ag.upf
Be 9.01 Be.upf
ATOMIC_POSITIONS angstrom
Ni 0.0000 0.0000 2.5156
Ag 1.3808 1.3808 4.4922
Be 0.0000 0.0000 0.2608
Be 1.3808 1.3808 1.4563
CELL_PARAMETERS angstrom
2.7617 0.0000 0.0000
0.0000 2.7617 0.0000
0.0000 0.0000 5.8166
! SG: P4mm, No. 99
! Relative energy among the computed polymorphs (meV per atom): 125.3
! Formation energy (eV per atom): -0.0104



[13]
! Pr14DySc PBE relaxed; values from VASP
&SYSTEM
  ibrav = 0, nat = 16, ntyp = 3
/
ATOMIC_SPECIES
Pr 140.91 Pr.upf
Dy 162.50 Dy.upf
Sc 44.96 Sc.upf
ATOMIC_POSITIONS angstrom
Pr -0.0872 -7.3390 1.3643
Pr -2.0279 -5.5643 5.8440
Pr -6.0090 -5.0485 0.9034
Pr -2.9006 -8.2842 3.5320
Pr -2.3287 -1.3890 1.0480
Pr 0.7854 -4.6190 3.6769
Pr -0.3570 -10.8363 2.6319
Pr -3.5323 -7.5369 -0.0508
Pr 3.3586 -7.1417 2.7779
Pr 0.1833 -3.8423 0.0952
Pr 2.4820 -9.8863 0.4435
Pr -0.6955 -6.5847 -2.2410
Pr 0.5200 -8.0920 4.9666
Pr -2.6539 -4.7941 2.2852
Dy -3.1974 -4.1071 -1.2666
Sc -5.1395 -2.3312 3.2162
CELL_PARAMETERS angstrom
-5.6250 -1.8872 4.3368
-1.7419 -5.4381 -4.6263
6.2226 -6.4657 5.2572
! SG: P4/mmm, No. 123
! Formation energy (eV per atom): 0.0215



[14]
! AgGeIr3 PBE relaxed; values from VASP
&SYSTEM
  ibrav = 0, nat = 5, ntyp = 3
/
ATOMIC_SPECIES
Ge 72.64 Ge.upf
Ir 192.22 Ir.upf
Ag 107.87 Ag.upf
ATOMIC_POSITIONS angstrom
Ge 2.3996 2.3996 2.3996
Ir 0.0000 2.3996 0.0000
Ir 0.0000 0.0000 2.3996
Ir 2.3996 0.0000 0.0000
Ag 0.0000 0.0000 0.0000
CELL_PARAMETERS angstrom
4.7992 0.0000 0.0000
0.0000 4.7992 0.0000
0.0000 0.0000 4.7992
! SG: Pm-3m, No. 221
! Relative energy among the computed polymorphs (meV per atom): 1156.8
! Formation energy (eV per atom): 2.3108



[15]
! CePrPuHg PBE relaxed; values from VASP
&SYSTEM
  ibrav = 0, nat = 4, ntyp = 4
/
ATOMIC_SPECIES
Pr 140.91 Pr.upf
Hg 200.59 Hg.upf
Ce 140.12 Ce.upf
Pu 244.00 Pu.upf
ATOMIC_POSITIONS angstrom
Pr -4.9512 -0.8825 -4.1939
Hg -2.4756 -0.4412 -2.0970
Ce -7.4268 -1.3237 -6.2909
Pu 0.0000 0.0000 0.0000
CELL_PARAMETERS angstrom
-1.3367 -0.3478 -5.1653
-3.8730 -3.3493 -1.5395
-4.6927 1.9323 -1.6830
! SG: F-43m, No. 216
! Formation energy (eV per atom): 0.0048



[16]
! TbGe4Ir6 PBE relaxed; values from VASP
&SYSTEM
  ibrav = 0, nat = 11, ntyp = 3
/
ATOMIC_SPECIES
Tb 158.93 Tb.upf
Ge 72.64 Ge.upf
Ir 192.22 Ir.upf
ATOMIC_POSITIONS angstrom
Tb 0.0000 0.0000 0.0000
Ge -1.7780 -3.5582 3.9597
Ge -1.8313 -1.0438 2.3005
Ge -4.2170 -2.8840 2.3241
Ge 1.9918 -2.5485 2.6333
Ir -2.6565 -2.4665 0.2975
Ir 0.4937 -2.9703 4.6934
Ir -0.3302 -3.1096 1.8575
Ir -2.6057 -4.8647 1.8801
Ir 2.8058 -1.1869 4.6704
Ir 0.4421 -0.5335 3.0853
CELL_PARAMETERS angstrom
-1.4893 1.9698 3.0329
-5.7200 -4.4120 0.0568
5.8478 -1.6167 3.9215
! SG: P-6m2, No. 187
! Formation energy (eV per atom): -0.4992



[17]
! Mn2Au3 PBE relaxed; values from VASP
&SYSTEM
  ibrav = 0, nat = 5, ntyp = 2
/
ATOMIC_SPECIES
Mn 54.94 Mn.upf
Au 196.97 Au.upf
ATOMIC_POSITIONS angstrom
Mn 0.0000 0.0000 11.5576
Mn 0.0000 0.0000 2.8416
Au 0.0000 0.0000 8.7899
Au 0.0000 0.0000 0.0000
Au 0.0000 0.0000 5.6093
CELL_PARAMETERS angstrom
-1.6631 1.7749 7.1996
1.6631 -1.7749 7.1996
1.6631 1.7749 -7.1996
! SG: Immm, No. 71
! Relative energy among the computed polymorphs (meV per atom): 127.4
! Formation energy (eV per atom): 0.0673



[18]
! Ac8P4S3N PBE relaxed; values from VASP
&SYSTEM
  ibrav = 0, nat = 16, ntyp = 4
/
ATOMIC_SPECIES
Ac 227.00 Ac.upf
P 30.97 P.upf
S 32.06 S.upf
N 14.01 N.upf
ATOMIC_POSITIONS angstrom
Ac -6.6043 0.4697 1.1980
Ac -3.4324 1.0238 3.8025
Ac 0.6020 1.8680 2.3300
Ac -8.2193 3.9912 -1.2080
Ac 3.8765 2.3479 5.1563
Ac -4.9448 4.4710 1.6184
Ac -0.9104 5.3152 0.1459
Ac 2.2616 5.8693 2.7504
P -1.5404 3.3587 -2.2948
P 1.7922 3.9389 0.4398
P 0.0000 0.0000 0.0000
P 3.3326 0.5802 2.7346
S -5.5040 2.5893 -0.7604
S -2.1714 3.1695 1.9742
S -0.6310 -0.1892 4.2690
N -3.9636 -0.7694 1.5344
CELL_PARAMETERS angstrom
-3.0808 6.7175 -4.5896
-7.9272 -1.5388 3.0688
6.6651 1.1603 5.4691
! SG: R-3m, No. 166
! Total DFT energy (no corrections) (eV per atom): -6.3317



[19]
! ZrIn2Se PBE relaxed; values from VASP
&SYSTEM
  ibrav = 0, nat = 8, ntyp = 3
/
ATOMIC_SPECIES
Se 78.96 Se.upf
Zr 91.22 Zr.upf
In 114.82 In.upf
ATOMIC_POSITIONS angstrom
Se 4.0801 4.0801 0.0000
Se 4.0801 8.1603 1.4659
Zr 0.0000 0.0000 0.0000
Zr 8.1603 4.0801 1.4659
In 6.0344 2.0401 0.7329
In 2.1259 6.1202 0.7329
In 6.1202 6.2060 2.1988
In 10.2003 10.1145 2.1988
CELL_PARAMETERS angstrom
8.1603 0.0000 0.0000
0.0000 8.1603 0.0000
4.0801 4.0801 2.9317
! SG: I-42d, No. 122
! Total DFT energy (no corrections) (eV per atom): -4.4120



[20]
! Li2RuPbSe PBE relaxed; values from VASP
&SYSTEM
  ibrav = 0, nat = 5, ntyp = 4
/
ATOMIC_SPECIES
Pb 207.20 Pb.upf
Ru 101.07 Ru.upf
Se 78.96 Se.upf
Li 6.94 Li.upf
ATOMIC_POSITIONS angstrom
Pb 0.0000 0.0000 0.0000
Ru 2.4698 2.8198 2.4698
Se 0.0000 2.8198 0.0000
Li 0.0000 0.0000 2.4698
Li 2.4698 0.0000 0.0000
CELL_PARAMETERS angstrom
4.9396 0.0000 0.0000
0.0000 5.6395 0.0000
0.0000 0.0000 4.9396
! SG: P4/mmm, No. 123
! Total DFT energy (no corrections) (eV per atom): -2.9703